A plane-wave DFT calculation with PBE-GGA was carried out for crystalline YbMn6Al6 at its relaxed geometry.

Cell and atoms, written as POSCAR:
```
YbMn6Al6
1.0
-2.4493 4.2998 4.3969
2.4493 -4.2998 4.3969
2.4493 4.2998 -4.3969
Yb Mn Al
1 6 6
Direct
0.0000 0.0000 0.0000
0.0000 0.0000 0.5000
0.0000 0.5000 0.0000
0.2369 0.5000 0.7369
0.5000 0.0000 0.0000
0.5000 0.5000 0.5000
0.7631 0.5000 0.2631
0.1957 0.6957 0.5000
0.3366 0.0000 0.3366
0.3453 0.3453 0.0000
0.6547 0.6547 0.0000
0.6634 0.0000 0.6634
0.8043 0.3043 0.5000
```

Output
theoretical density = 5.96 g/cm³
space-group type = No. 71
V = 14.2 A^3/atom
energy of formation = -0.189 eV/atom
crystal system = orthorhombic